# 1
7
Lattice="4.890 0.906 2.927 3.067 7.705 3.807 1.178 1.241 8.963" Properties=species:S:1:pos:R:3 comment="CeHo5Er, relaxed, DFT PBE-GGA" space_group="No. 12" e_form_ev_per_fu=6.5 pbc="T T T"
Ho 2.445 0.453 1.464
Ho 6.663 4.183 10.267
Ho 2.472 5.669 5.430
Ho 5.574 7.171 11.031
Ho 3.561 2.681 4.666
Ce 0.000 0.000 0.000
Er 4.568 4.926 7.849

=====

# 2
5
Lattice="4.872 0.000 0.000 0.000 4.872 0.000 0.000 0.000 4.872" Properties=species:S:1:pos:R:3 comment="ZrTaGa3, relaxed, DFT PBE-GGA" space_group="No. 221" e_form_ev_per_fu=2.8 polymorph_energy_ev_per_atom=0.6177 pbc="T T T"
Zr 2.436 2.436 2.436
Ta 0.000 0.000 0.000
Ga 0.000 2.436 0.000
Ga 2.436 0.000 0.000
Ga 0.000 0.000 2.436

=====

# 3
5
Lattice="5.410 0.000 0.000 0.000 3.693 0.000 0.000 0.000 5.410" Properties=species:S:1:pos:R:3 comment="CuReTe2O, relaxed, DFT PBE-GGA" space_group="No. 123" e_form_raw_kj_per_mol_atoms=2.94 pbc="T T T"
Te 2.705 0.000 0.000
Te 0.000 0.000 2.705
Cu 2.705 1.847 2.705
Re 0.000 0.000 0.000
O 0.000 1.847 0.000

=====

# 4
12
Lattice="-2.720 2.363 1.338 -3.325 -4.762 -3.872 0.605 -3.001 6.528" Properties=species:S:1:pos:R:3 comment="SrCeVN3, relaxed, DFT PBE-GGA" space_group="No. 12" e_form_raw_kj_per_mol_atoms=-107.57 pbc="T T T"
V -5.797 -3.142 -0.715
V 0.357 -2.257 4.709
N -0.909 -3.473 4.283
N -4.531 -1.926 -0.290
N -1.357 -2.321 1.340
N -1.247 0.321 2.419
N -4.194 -5.720 1.575
N -4.084 -3.078 2.654
Sr -2.777 -5.322 3.753
Sr -2.664 -0.076 0.241
Ce -2.427 -1.584 3.383
Ce -3.014 -3.815 0.611

=====

# 5
4
Lattice="6.501 -0.122 -0.316 5.897 2.738 -0.316 1.366 0.288 5.608" Properties=species:S:1:pos:R:3 comment="OsCl, relaxed, DFT PBE-GGA" space_group="No. 12" e_form_raw_kj_per_mol_atoms=89.16 polymorph_energy_ev_per_atom=0.8001 pbc="T T T"
Os 3.107 0.656 2.651
Os 7.443 1.571 2.015
Cl 12.380 2.613 0.320
Cl 10.568 2.230 3.713

=====

# 6
8
Lattice="4.273 0.000 0.000 0.000 7.406 0.139 0.000 -2.578 6.945" Properties=species:S:1:pos:R:3 comment="Er2TmHfSb4, relaxed, DFT PBE-GGA" space_group="No. 10" e_form_raw_kj_per_mol_atoms=-87.67 pbc="T T T"
Tm 2.137 3.703 0.069
Sb 2.137 3.668 5.389
Sb 0.000 4.960 1.798
Sb 2.137 1.161 1.695
Sb 0.000 -0.132 5.285
Hf 0.000 0.000 0.000
Er 0.000 2.414 3.542
Er 2.137 -1.289 3.472

=====

# 7
8
Lattice="-3.581 -0.524 -1.821 0.677 -1.966 6.822 -4.208 5.639 -0.951" Properties=species:S:1:pos:R:3 comment="AsF3, relaxed, DFT PBE-GGA" space_group="No. 2" e_form_raw_kj_per_mol_atoms=-205.91 pbc="T T T"
As -6.484 3.116 -0.717
As -0.629 0.034 4.767
F -4.408 3.410 2.041
F -3.870 0.950 3.950
F 0.096 -1.092 5.904
F -3.243 2.200 0.100
F -7.209 4.241 -1.854
F -2.704 -0.260 2.009

=====

# 8
8
Lattice="-2.084 1.586 3.235 2.836 -1.985 2.800 6.786 9.377 -0.225" Properties=species:S:1:pos:R:3 comment="Ac4CuRh3, relaxed, DFT PBE-GGA" space_group="No. 25" e_form_ev_per_fu=-4.5 pbc="T T T"
Rh 2.750 3.800 -0.091
Rh 5.438 4.563 1.267
Rh 5.255 9.495 1.409
Cu 0.846 0.451 3.002
Ac 2.897 3.285 2.934
Ac 3.273 6.756 1.474
Ac 7.249 7.066 1.206
Ac 0.937 1.295 -0.031

=====

# 9
6
Lattice="-0.390 0.388 -4.159 -3.942 -2.895 2.215 -2.988 4.611 0.711" Properties=species:S:1:pos:R:3 comment="DyZnIr, relaxed, DFT PBE-GGA" space_group="No. 63" e_form_ev_per_fu=-2.1 pbc="T T T"
Zn -0.195 0.194 -2.080
Zn -1.689 2.500 -1.724
Dy -3.337 -0.217 -1.823
Dy -3.983 2.321 0.590
Ir -1.479 0.675 0.202
Ir -5.841 1.429 -1.435

=====

# 10
5
Lattice="-1.364 -2.306 -5.862 -2.410 -5.350 2.666 -4.402 2.085 0.204" Properties=species:S:1:pos:R:3 comment="Ba2LiHgGe, relaxed, DFT PBE-GGA" space_group="No. 123" e_form_ev_per_fu=-1.3 pbc="T T T"
Ba -0.682 -1.153 -2.931
Ba -1.205 -2.675 1.333
Li -2.201 1.042 0.102
Hg -4.088 -2.786 -1.496
Ge 0.000 0.000 0.000

=====

# 11
5
Lattice="-3.773 -1.471 3.351 2.572 -4.490 0.925 2.187 -0.513 6.360" Properties=species:S:1:pos:R:3 comment="Al2InTe2, relaxed, DFT PBE-GGA" space_group="No. 139" e_form_raw_kj_per_mol_atoms=7.93 pbc="T T T"
Te 0.283 -2.198 3.477
Te 0.703 -4.276 7.160
Al 2.079 -3.992 4.712
Al -1.094 -2.483 5.925
In 0.000 0.000 0.000

=====

# 12
4
Lattice="-2.299 -1.703 4.737 -5.356 -1.387 0.134 -1.471 -5.299 0.613" Properties=species:S:1:pos:R:3 comment="Sb2PbI, relaxed, DFT PBE-GGA" space_group="No. 225" e_form_raw_kj_per_mol_atoms=28.64 pbc="T T T"
Sb -6.845 -6.292 4.113
Sb -2.282 -2.097 1.371
Pb -4.563 -4.194 2.742
I 0.000 0.000 0.000

=====

# 13
5
Lattice="4.014 0.000 0.000 0.000 5.887 0.000 0.000 0.000 4.014" Properties=species:S:1:pos:R:3 comment="HfNbGeF2, relaxed, DFT PBE-GGA" space_group="No. 123" e_form_raw_kj_per_mol_atoms=-102.25 pbc="T T T"
Hf 0.000 2.944 0.000
Ge 2.007 2.944 2.007
F 2.007 0.000 0.000
F 0.000 0.000 2.007
Nb 0.000 0.000 0.000

=====

# 14
5
Lattice="4.473 0.000 0.000 0.000 3.978 -1.291 0.000 0.302 7.705" Properties=species:S:1:pos:R:3 comment="Sr2Ga2Ge, relaxed, DFT PBE-GGA" space_group="No. 38" e_form_ev_per_fu=-2.1 polymorph_energy_ev_per_atom=0.0799 pbc="T T T"
Ge 2.236 0.493 1.518
Ga 2.236 1.419 4.372
Ga 2.236 2.037 -0.499
Sr 0.000 3.965 5.443
Sr 0.000 2.829 1.942

=====

# 15
20
Lattice="-1.242 -1.606 7.867 5.803 -5.173 -2.362 3.464 7.347 -0.176" Properties=species:S:1:pos:R:3 comment="CuNi7Te12, relaxed, DFT PBE-GGA" space_group="No. 148" e_form_raw_kj_per_mol_atoms=-7.33 pbc="T T T"
Te 3.287 2.722 6.609
Te 3.545 1.113 0.270
Te 2.692 -1.778 1.864
Te 7.484 2.406 0.323
Te 2.470 4.539 1.420
Te 0.541 -1.837 5.005
Te 4.737 -2.153 -1.281
Te 5.555 -3.971 3.908
Te 6.370 -0.655 2.222
Te 4.479 -0.545 5.058
Te 1.655 1.224 3.106
Te 5.333 2.347 3.464
Ni 4.012 0.284 2.664
Ni 0.441 -0.857 2.452
Ni 6.697 -1.563 4.531
Ni 5.627 1.548 5.811
Ni 2.398 -0.979 -0.483
Ni 1.328 2.132 0.797
Ni 7.584 1.426 2.876
Cu 0.000 0.000 0.000

=====

# 16
4
Lattice="2.773 -0.037 0.000 -0.345 2.751 0.000 0.000 0.000 10.040" Properties=species:S:1:pos:R:3 comment="Ca2CrRe, relaxed, DFT PBE-GGA" space_group="No. 65" e_form_ev_per_fu=4.2 polymorph_energy_ev_per_atom=0.6510 pbc="T T T"
Cr 1.214 1.357 2.510
Re 1.214 1.357 7.530
Ca 0.000 0.000 4.999
Ca 0.000 0.000 0.021

=====

# 17
3
Lattice="-3.056 -0.740 0.420 1.453 -0.745 -2.720 1.798 -5.951 2.591" Properties=species:S:1:pos:R:3 comment="AlTcPb, relaxed, DFT PBE-GGA" space_group="No. 156" e_form_ev_per_fu=0.9 polymorph_energy_ev_per_atom=0.2032 pbc="T T T"
Al 1.715 -5.677 2.472
Pb -0.912 -2.863 0.297
Tc 1.190 -4.847 0.114

=====

# 18
12
Lattice="3.519 0.000 0.000 -1.760 3.048 0.000 0.000 0.000 33.831" Properties=species:S:1:pos:R:3 comment="Ho7Tm4Tl, relaxed, DFT PBE-GGA" space_group="No. 164" e_form_ev_per_fu=-0.2 polymorph_energy_ev_per_atom=0.0000 pbc="T T T"
Tm 0.000 2.032 22.410
Tm 0.000 2.032 30.982
Tm 1.760 1.016 2.848
Tm 1.760 1.016 11.421
Ho 0.000 0.000 8.572
Ho 0.000 2.032 5.695
Ho 0.000 0.000 25.258
Ho 1.760 1.016 28.136
Ho 0.000 2.032 14.259
Ho 0.000 0.000 0.000
Ho 1.760 1.016 19.572
Tl 0.000 0.000 16.915

=====

# 19
6
Lattice="2.725 0.082 0.283 -1.375 4.807 -1.406 0.696 -1.622 7.008" Properties=species:S:1:pos:R:3 comment="VRh4W, relaxed, DFT PBE-GGA" space_group="No. 8" e_form_ev_per_fu=-1.4 polymorph_energy_ev_per_atom=0.0000 pbc="T T T"
Rh 0.726 0.544 2.777
Rh 1.896 2.503 4.235
Rh -0.390 3.526 -0.565
Rh 1.856 -0.013 5.345
W 0.749 3.081 1.851
V 2.315 1.011 0.651